# LiFe3

A relaxed structure of LiFe3 (PBE, Alexandria via LeMat-Bulk).

Cell lengths 4.0893, 4.0893, 2.7716 Å; angles 90.00, 90.00, 90.00 degrees
Last column: magnetic moment on the atom in μB.
Atoms (fractional coordinates):
Fe (0.0000, 0.0000, 0.0000)  2.58
Fe (0.5000, 0.5000, 0.0000)  2.58
Fe (0.5000, 0.0000, 0.5000)  2.09
Li (0.0000, 0.5000, 0.5000)  -0.10

For the density of states at the Fermi level, the calculation gives 2.17 states/eV/cell. As for the space group: P4/mmm, No. 123. Its mass density is 6.3 g cm⁻³. The formation energy is 0.20 eV per atom.